A plane-wave DFT calculation with PBE-GGA was carried out for Zn2Se after structural relaxation.

Symmetry: C2/m
ΔE to the lowest computed polymorph (meV per atom): 154.2
Formation energy (no corrections) (eV/atom): -0.037
Magnetic moment (Bohr magnetons per cell): 0.0
Crystal system: monoclinic
Volume (Å³/atom): 21.0
Total energy (eV/atom): -2.048

Cell and atoms, written as CIF:
```
data_Zn2Se
_chemical_formula_sum 'Zn8 Se4'
_space_group_name_H-M_alt 'P 1'
_space_group_IT_number 1
_cell_length_a 13.523
_cell_length_b 2.698
_cell_length_c 7.766
_cell_angle_alpha 90.00
_cell_angle_beta 117.47
_cell_angle_gamma 90.00
loop_
_space_group_symop_operation_xyz
'x,y,z'
loop_
_atom_site_label
_atom_site_type_symbol
_atom_site_fract_x
_atom_site_fract_y
_atom_site_fract_z
Zn1 Zn 0.172 0.000 0.038
Zn2 Zn 0.186 0.500 0.342
Zn3 Zn 0.314 0.000 0.658
Zn4 Zn 0.328 0.500 0.962
Zn5 Zn 0.672 0.500 0.038
Zn6 Zn 0.686 0.000 0.342
Zn7 Zn 0.814 0.500 0.658
Zn8 Zn 0.828 0.000 0.962
Se1 Se 0.020 0.500 0.731
Se2 Se 0.480 0.000 0.269
Se3 Se 0.520 0.000 0.731
Se4 Se 0.980 0.500 0.269
```



A plane-wave DFT calculation with PBE-GGA was carried out for SiB2Ir2 after structural relaxation.

Symmetry: P4/mbm
Formation energy (no corrections) (eV/atom): 0.147
Magnetic moment (Bohr magnetons per cell): 0.0
Crystal system: tetragonal
Volume (Å³/atom): 11.3
Total energy (eV/atom): -7.153

Cell and atoms, written as CIF:
```
data_SiB2Ir2
_chemical_formula_sum 'Si2 B4 Ir4'
_space_group_name_H-M_alt 'P 1'
_space_group_IT_number 1
_cell_length_a 6.387
_cell_length_b 6.387
_cell_length_c 2.763
_cell_angle_alpha 90.00
_cell_angle_beta 90.00
_cell_angle_gamma 90.00
loop_
_space_group_symop_operation_xyz
'x,y,z'
loop_
_atom_site_label
_atom_site_type_symbol
_atom_site_fract_x
_atom_site_fract_y
_atom_site_fract_z
Si1 Si 0.000 0.000 0.000
Si2 Si 0.500 0.500 0.000
B1 B 0.090 0.410 0.000
B2 B 0.410 0.910 0.000
B3 B 0.590 0.090 0.000
B4 B 0.910 0.590 0.000
Ir1 Ir 0.228 0.728 0.500
Ir2 Ir 0.272 0.228 0.500
Ir3 Ir 0.728 0.772 0.500
Ir4 Ir 0.772 0.272 0.500
```



A plane-wave DFT calculation with PBE-GGA was carried out for Cs4Np3HgSe8 after structural relaxation.

Symmetry: R-3m
Formation energy (no corrections) (eV/atom): -1.069
Magnetic moment (Bohr magnetons per cell): 10.9
Crystal system: trigonal
Volume (Å³/atom): 34.0
Total energy (eV/atom): -5.470

Cell and atoms, written as CIF:
```
data_Cs4Np3HgSe8
_chemical_formula_sum 'Cs4 Np3 Hg1 Se8'
_space_group_name_H-M_alt 'P 1'
_space_group_IT_number 1
_cell_length_a 9.690
_cell_length_b 9.690
_cell_length_c 9.690
_cell_angle_alpha 53.40
_cell_angle_beta 53.40
_cell_angle_gamma 53.40
loop_
_space_group_symop_operation_xyz
'x,y,z'
loop_
_atom_site_label
_atom_site_type_symbol
_atom_site_fract_x
_atom_site_fract_y
_atom_site_fract_z
Cs1 Cs 0.000 0.000 0.000
Cs2 Cs 0.000 0.500 0.500
Cs3 Cs 0.500 0.000 0.500
Cs4 Cs 0.500 0.500 0.000
Np1 Np 0.000 0.000 0.500
Np2 Np 0.000 0.500 0.000
Np3 Np 0.500 0.000 0.000
Hg1 Hg 0.500 0.500 0.500
Se1 Se 0.213 0.735 0.735
Se2 Se 0.228 0.228 0.228
Se3 Se 0.265 0.265 0.787
Se4 Se 0.265 0.787 0.265
Se5 Se 0.735 0.213 0.735
Se6 Se 0.735 0.735 0.213
Se7 Se 0.772 0.772 0.772
Se8 Se 0.787 0.265 0.265
```



What did the second record say?
A plane-wave DFT calculation with PBE-GGA was carried out for SiB2Ir2 after structural relaxation.

Symmetry: P4/mbm
Formation energy (no corrections) (eV/atom): 0.147
Magnetic moment (Bohr magnetons per cell): 0.0
Crystal system: tetragonal
Volume (Å³/atom): 11.3
Total energy (eV/atom): -7.153

Cell and atoms, written as CIF:
```
data_SiB2Ir2
_chemical_formula_sum 'Si2 B4 Ir4'
_space_group_name_H-M_alt 'P 1'
_space_group_IT_number 1
_cell_length_a 6.387
_cell_length_b 6.387
_cell_length_c 2.763
_cell_angle_alpha 90.00
_cell_angle_beta 90.00
_cell_angle_gamma 90.00
loop_
_space_group_symop_operation_xyz
'x,y,z'
loop_
_atom_site_label
_atom_site_type_symbol
_atom_site_fract_x
_atom_site_fract_y
_atom_site_fract_z
Si1 Si 0.000 0.000 0.000
Si2 Si 0.500 0.500 0.000
B1 B 0.090 0.410 0.000
B2 B 0.410 0.910 0.000
B3 B 0.590 0.090 0.000
B4 B 0.910 0.590 0.000
Ir1 Ir 0.228 0.728 0.500
Ir2 Ir 0.272 0.228 0.500
Ir3 Ir 0.728 0.772 0.500
Ir4 Ir 0.772 0.272 0.500
```



> Number 1 is which compound?

Zn2Se



> Among the records above, which one has the highest total energy?

Zn2Se



Repeat the second record exactly.
A plane-wave DFT calculation with PBE-GGA was carried out for SiB2Ir2 after structural relaxation.

Symmetry: P4/mbm
Formation energy (no corrections) (eV/atom): 0.147
Magnetic moment (Bohr magnetons per cell): 0.0
Crystal system: tetragonal
Volume (Å³/atom): 11.3
Total energy (eV/atom): -7.153

Cell and atoms, written as CIF:
```
data_SiB2Ir2
_chemical_formula_sum 'Si2 B4 Ir4'
_space_group_name_H-M_alt 'P 1'
_space_group_IT_number 1
_cell_length_a 6.387
_cell_length_b 6.387
_cell_length_c 2.763
_cell_angle_alpha 90.00
_cell_angle_beta 90.00
_cell_angle_gamma 90.00
loop_
_space_group_symop_operation_xyz
'x,y,z'
loop_
_atom_site_label
_atom_site_type_symbol
_atom_site_fract_x
_atom_site_fract_y
_atom_site_fract_z
Si1 Si 0.000 0.000 0.000
Si2 Si 0.500 0.500 0.000
B1 B 0.090 0.410 0.000
B2 B 0.410 0.910 0.000
B3 B 0.590 0.090 0.000
B4 B 0.910 0.590 0.000
Ir1 Ir 0.228 0.728 0.500
Ir2 Ir 0.272 0.228 0.500
Ir3 Ir 0.728 0.772 0.500
Ir4 Ir 0.772 0.272 0.500
```